Record 1
Computed, not measured: a relaxed La4CeNd2 crystal at the PBE level of DFT.

Lattice parameters (Å, degrees): 6.5182 8.7929 9.1965 86.20 82.35 70.26
Last column: nearest neighbours and their distance in Å.
Space group P1 (No. 1)
Inequivalent atoms, fractional coordinates:
La (0.0000, 0.0000, 0.0000)  4 La 3.47-3.68, 2 Nd 3.57-3.73, 2 Ce 3.65-3.68
La (0.0343, 0.8757, 0.4178)  2 Nd 3.41-3.47, 4 La 3.47-3.80, 1 Ce 3.53
La (0.3856, 0.2282, 0.9345)  4 La 3.36-3.68, 4 Nd 3.59-3.76, 1 Ce 3.74
La (0.5139, 0.8287, 0.1195)  6 La 3.47-3.80, 2 Nd 3.63-3.65, 1 Ce 3.83
La (0.5663, 0.1540, 0.2955)  2 Ce 3.31-3.48, 1 Nd 3.47, 4 La 3.47-3.62
La (0.6417, 0.6103, 0.4434)  2 Ce 3.38-3.52, 2 La 3.47-3.60, 2 Nd 3.60-3.76
La (0.7580, 0.2316, 0.6450)  3 La 3.36-3.67, 1 Ce 3.49, 3 Nd 3.61-3.69
La (0.8078, 0.7852, 0.7658)  3 Nd 3.44-3.57, 2 Ce 3.45-3.50, 3 La 3.50-3.55
Ce (0.0014, 0.2695, 0.2885)  6 La 3.31-3.68, 3 Nd 3.33-3.56
Ce (0.3615, 0.6443, 0.8013)  4 Nd 3.36-3.53, 5 La 3.45-3.74
Nd (0.1587, 0.5804, 0.1575)  2 Ce 3.33-3.45, 4 La 3.47-3.73, 1 Nd 3.69
Nd (0.1704, 0.4386, 0.5739)  2 Ce 3.45-3.56, 1 Nd 3.54, 6 La 3.57-3.86
Nd (0.3395, 0.0130, 0.6167)  6 La 3.41-3.76, 1 Ce 3.53, 1 Nd 3.54
Nd (0.8005, 0.4309, 0.9697)  2 Ce 3.36-3.40, 5 La 3.54-3.65, 1 Nd 3.69

Computed properties:
For the density of states at the Fermi level, the calculation gives 2.06 states/eV/atom. The formation enthalpy at 0 K comes out at 10 kJ per mole of atoms. As for the magnetic moment: 1.51 μB per cell.


Record 2
Computed, not measured: a relaxed Ac5La2In4 crystal at the PBE level of DFT.

Lattice parameters (Å, degrees): 3.7445 8.8468 32.1455 90.00 90.00 90.00
Last column: nearest neighbours and their distance in Å.
Space group Immm (No. 71)
Inequivalent atoms, fractional coordinates:
Ac (0.0000, 0.0000, 0.0000)  4 La 3.44, 4 In 3.48, 2 Ac 3.74
Ac (0.0000, 0.2748, 0.3125)  3 In 3.32-3.40, 1 La 3.72
La (0.0000, 0.5000, 0.4101)  4 Ac 3.44-3.72, 2 La 3.74
In (0.0000, 0.1686, 0.5000)  1 In 2.98
In (0.0000, 0.5000, 0.2268)  6 Ac 3.32-3.40

Computed properties:
For the density of states at the Fermi level, the calculation gives 1.36 states/eV/atom. The formation enthalpy at 0 K comes out at 31 kJ per mole of atoms. As for the magnetic moment: 0.00 μB per cell.


Record 3
Computed, not measured: a relaxed La2TbTm3 crystal at the PBE level of DFT.

Lattice parameters (Å, degrees): 9.3434 13.3253 6.4570 90.00 90.00 90.00
Last column: nearest neighbours and their distance in Å.
Space group Cmc2_1 (No. 36)
Inequivalent atoms, fractional coordinates:
La (0.1856, 0.1801, 0.0000)  2 Tb 3.23-3.26, 3 Tm 3.29-3.58, 1 La 3.47
Tb (0.0000, 0.3313, 0.2842)  4 La 3.23-3.26, 3 Tm 3.29-3.56
Tm (0.0000, 0.4219, 0.7658)  3 Tb 3.29-3.56, 2 Tm 3.35, 2 La 3.66
Tm (0.1870, 0.0670, 0.5186)  4 La 3.29-3.67, 4 Tm 3.35-3.69, 1 Tb 3.65

Computed properties:
For the density of states at the Fermi level, the calculation gives 1.50 states/eV/atom. The energy above the most stable polymorph in this dataset is 0.213 eV/atom. The formation enthalpy at 0 K comes out at 24 kJ per mole of atoms. As for the magnetic moment: 0.00 μB per cell.


Record 4
Computed, not measured: a relaxed HgC3 crystal at the PBE level of DFT.

Lattice parameters (Å, degrees): 3.7332 7.8160 4.1161 90.00 90.00 90.00
Last column: nearest neighbours and their distance in Å.
Space group Cmmm (No. 65)
Inequivalent atoms, fractional coordinates:
Hg (0.0000, 0.0000, 0.0000)  2 C 1.87
C (0.0000, 0.5000, 0.0000)  2 Hg 1.87
C (0.2500, 0.2500, 0.5000)  2 C 1.87

Computed properties:
For the density of states at the Fermi level, the calculation gives 0.54 states/eV/atom. The energy above the most stable polymorph in this dataset is 2.886 eV/atom. The formation enthalpy at 0 K comes out at 350 kJ per mole of atoms. As for the magnetic moment: 0.00 μB per cell.


Record 5
Computed, not measured: a relaxed CePrRh crystal at the PBE level of DFT.

Lattice parameters (Å, degrees): 4.5520 4.5520 4.3932 90.00 90.00 120.00
Last column: nearest neighbours and their distance in Å.
Space group P3m1 (No. 156)
Inequivalent atoms, fractional coordinates:
Ce (0.0000, 0.0000, 0.0000)  3 Rh 2.67
Pr (0.3333, 0.6667, 0.4595)  6 Rh 3.24-3.62, 6 Ce 3.31-3.54
Rh (0.6667, 0.3333, 0.8919)  3 Ce 2.67

Computed properties:
For the density of states at the Fermi level, the calculation gives 1.90 states/eV/atom. The energy above the most stable polymorph in this dataset is 0.167 eV/atom. The formation enthalpy at 0 K comes out at -29 kJ per mole of atoms. As for the magnetic moment: 0.47 μB per cell.


Record 6
Computed, not measured: a relaxed Be3Au5 crystal at the PBE level of DFT.

Lattice parameters (Å, degrees): 5.4881 13.2530 6.6474 90.00 104.24 90.00
Last column: nearest neighbours and their distance in Å.
Space group C2/m (No. 12)
Inequivalent atoms, fractional coordinates:
Be (0.0000, 0.1572, 0.0000)  8 Au 2.49-2.53
Be (0.0000, 0.2515, 0.5000)  8 Au 2.46-2.53, 2 Be 2.74
Be (0.0753, 0.5000, 0.3308)  8 Au 2.48-2.75, 1 Be 2.58
Au (0.1747, 0.3104, 0.2011)  5 Be 2.46-2.75
Au (0.2066, 0.1065, 0.3695)  5 Be 2.49-2.53
Au (0.2446, 0.0000, 0.9771)  4 Be 2.48-2.59, 2 Au 2.74-2.78

Computed properties:
For the density of states at the Fermi level, the calculation gives 0.19 states/eV/atom. The energy above the most stable polymorph in this dataset is 0.034 eV/atom. The formation enthalpy at 0 K comes out at -10 kJ per mole of atoms. As for the magnetic moment: 0.00 μB per cell.


Record 7
Computed, not measured: a relaxed Rb2NaHCl6 crystal at the PBE level of DFT.

Lattice parameters (Å, degrees): 7.9091 7.9091 9.0939 90.00 90.00 90.00
Last column: nearest neighbours and their distance in Å.
Space group I4/mmm (No. 139)
Inequivalent atoms, fractional coordinates:
Rb (0.0000, 0.5000, 0.2500)  12 Cl 3.61-4.02
Na (0.0000, 0.0000, 0.0000)  4 Cl 2.67
H (0.0000, 0.0000, 0.5000)  2 Cl 1.55
Cl (0.0000, 0.0000, 0.3292)  1 H 1.55
Cl (0.2390, 0.2390, 0.0000)  1 Na 2.67, 1 H 2.92

Computed properties:
For the density of states at the Fermi level, the calculation gives 1.04 states/eV/atom. The calculation puts the total energy at -2.79 eV/atom. As for the magnetic moment: 4.00 μB per cell.


Record 8
Computed, not measured: a relaxed Pr8B7Cl7 crystal at the PBE level of DFT.

Lattice parameters (Å, degrees): 7.7857 9.2344 14.4455 91.01 97.82 114.92
Last column: nearest neighbours and their distance in Å.
Space group P-1 (No. 2)
Inequivalent atoms, fractional coordinates:
Pr (0.0202, 0.1656, 0.3015)  3 B 2.62-2.76, 1 Cl 2.91
Pr (0.1016, 0.7200, 0.4663)  6 B 2.71-2.74, 1 Cl 2.98
Pr (0.2156, 0.5854, 0.2476)  5 B 2.63-2.93
Pr (0.2165, 0.7215, 0.9215)  1 B 2.49
Pr (0.2583, 0.4147, 0.7529)  5 B 2.63-2.94
Pr (0.2930, 0.2924, 0.0879)  1 B 2.64, 2 Cl 2.87-2.88
Pr (0.4058, 0.2951, 0.5320)  4 B 2.70-2.72, 1 Cl 2.97
Pr (0.4543, 0.8342, 0.6987)  3 B 2.62-2.76, 1 Cl 2.93
B (0.0707, 0.5752, 0.6312)  3 B 1.74-1.89
B (0.1320, 0.6380, 0.7501)  1 B 1.74
B (0.1744, 0.4633, 0.4334)  1 B 1.68
B (0.2446, 0.5366, 0.5667)  1 B 1.68
B (0.3266, 0.4257, 0.3757)  3 B 1.63-1.74
B (0.3802, 0.3762, 0.2701)  2 B 1.74
B (0.4635, 0.5744, 0.6243)  3 B 1.63-1.74
Cl (0.0000, 0.0000, 0.5000)  6 Pr 3.05-3.26
Cl (0.0458, 0.3654, 0.9325)  5 Pr 3.00-3.24
Cl (0.0731, 0.9589, 0.8942)  3 Pr 2.86-2.91
Cl (0.1388, 0.8835, 0.2892)  5 Pr 2.98-3.12
Cl (0.3677, 0.1303, 0.7079)  5 Pr 2.97-3.17
Cl (0.4153, 0.0387, 0.1049)  3 Pr 2.87-2.93
Cl (0.4706, 0.6429, 0.0694)  4 Pr 2.97-3.29
Cl (0.5000, 0.0000, 0.5000)  6 Pr 3.05-3.27

Computed properties:
For the density of states at the Fermi level, the calculation gives 0.31 states/eV/atom. The formation energy (no corrections) comes out at -1.224 eV/atom. As for the magnetic moment: 0.00 μB per cell.


Record 9
Computed, not measured: a relaxed KLiAl3 crystal at the PBE level of DFT.

Lattice parameters (Å, degrees): 4.8988 4.8988 4.8988 90.00 90.00 90.00
Last column: nearest neighbours and their distance in Å.
Space group Pm-3m (No. 221)
Inequivalent atoms, fractional coordinates:
K (0.0000, 0.0000, 0.0000)  12 Al 3.46
Li (0.5000, 0.5000, 0.5000)  6 Al 2.45
Al (0.0000, 0.5000, 0.5000)  2 Li 2.45

Computed properties:
For the density of states at the Fermi level, the calculation gives 0.43 states/eV/atom. The energy above the most stable polymorph in this dataset is 0.000 eV/atom. The formation enthalpy at 0 K comes out at 42 kJ per mole of atoms. As for the magnetic moment: 0.00 μB per cell.


Record 10
Computed, not measured: a relaxed TmH6Ir2Pd crystal at the PBE level of DFT.

Lattice parameters (Å, degrees): 8.1828 8.8131 5.2332 90.00 105.59 90.00
Last column: nearest neighbours and their distance in Å.
Space group C2/c (No. 15)
Inequivalent atoms, fractional coordinates:
Tm (0.0000, 0.1871, 0.2500)  10 H 2.34-2.46
H (0.1033, 0.4270, 0.1314)  1 Ir 1.73, 1 Pd 1.84
H (0.1402, 0.0024, 0.5598)  2 Ir 1.76-1.82
H (0.1907, 0.2785, 0.6373)  1 Ir 1.63
Ir (0.1893, 0.1318, 0.8261)  4 H 1.63-1.82
Pd (0.0000, 0.4123, 0.7500)  4 H 1.84-1.95

Computed properties:
For the density of states at the Fermi level, the calculation gives 0.30 states/eV/atom. The calculation puts the total energy at -5.03 eV/atom. As for the magnetic moment: 0.00 μB per cell.


Record 11
Computed, not measured: a relaxed SrLaY crystal at the PBE level of DFT.

Lattice parameters (Å, degrees): 3.8076 3.8076 9.4762 90.00 90.00 120.00
Last column: nearest neighbours and their distance in Å.
Space group P3m1 (No. 156)
Inequivalent atoms, fractional coordinates:
Sr (0.0000, 0.0000, 0.0000)  6 Sr 3.81, 3 Y 3.91, 3 La 4.08
La (0.3333, 0.6667, 0.6368)  3 Y 3.56, 6 La 3.81
Y (0.6667, 0.3333, 0.3417)  3 La 3.56, 6 Y 3.81, 3 Sr 3.91

Computed properties:
For the density of states at the Fermi level, the calculation gives 1.34 states/eV/atom. The energy above the most stable polymorph in this dataset is 0.006 eV/atom. The formation enthalpy at 0 K comes out at 11 kJ per mole of atoms. As for the magnetic moment: 0.00 μB per cell.


> Which value of magnetic moment does entry 2 give?

0.00 μB per cell